No. 1
Crystalline Pr4Y2Cd at its relaxed geometry. Source: Alexandria via LeMat-Bulk, functional PBE.

Unit cell a=3.5908 b=8.7645 c=8.6651 alpha=116.94 beta=101.96 gamma=90.00
Fractional coordinates of all 7 atoms:
Pr1 0.6308 0.3895 0.2616
Cd1 0.0000 0.0000 0.0000
Pr2 0.3692 0.6105 0.7384
Pr3 0.9170 0.2957 0.8340
Y1 0.2162 0.1386 0.4325
Pr4 0.0830 0.7043 0.1660
Y2 0.7838 0.8614 0.5675

Its crystal system is monoclinic. The calculation puts the total magnetization at 0.00 μB/atom. For the energy relative to the elements, the calculation gives 0.03 eV/atom.


No. 2
Crystalline NaFe2PbAu at its relaxed geometry. Source: Alexandria via LeMat-Bulk, functional PBE.

Unit cell a=4.8779 b=5.1284 c=4.8779 alpha=90.00 beta=90.00 gamma=90.00
Fractional coordinates of all 5 atoms:
Fe1 0.5000 0.0000 0.0000
Na1 0.0000 0.5000 0.0000
Fe2 0.0000 0.0000 0.5000
Pb1 0.5000 0.5000 0.5000
Au1 0.0000 0.0000 0.0000

Its crystal system is tetragonal. The calculation puts the total magnetization at 1.23 μB/atom. For the energy relative to the elements, the calculation gives 0.81 eV/atom.


No. 3
Crystalline Ac4Cd3In at its relaxed geometry. Source: Alexandria via LeMat-Bulk, functional PBE.

Unit cell a=4.0424 b=5.1433 c=13.2394 alpha=90.00 beta=90.00 gamma=90.00
Fractional coordinates of all 8 atoms:
Cd1 0.0000 0.0000 0.4327
In1 0.5000 0.5000 0.0694
Ac1 0.0000 0.0000 0.1560
Cd2 0.0000 0.5000 0.5674
Ac2 0.0000 0.5000 0.8430
Ac3 0.5000 0.5000 0.3463
Ac4 0.5000 0.0000 0.6544
Cd3 0.5000 0.0000 0.9309

Its crystal system is orthorhombic. The calculation puts the total magnetization at 0.00 μB/atom. For the energy relative to the elements, the calculation gives -0.30 eV/atom. Its energy above the most stable polymorph in this dataset is 0.0305 eV per atom.


No. 4
Crystalline Np3PSe6 at its relaxed geometry. Source: Alexandria via LeMat-Bulk, functional PBE.

Unit cell a=6.9791 b=8.7882 c=8.7882 alpha=106.33 beta=90.00 gamma=90.00
Fractional coordinates of all 20 atoms:
Se1 0.2719 0.9650 0.0350
Se2 0.7004 0.9114 0.4548
Se3 0.1514 0.3563 0.2971
Np1 0.9507 0.7346 0.9435
Se4 0.1228 0.7525 0.2475
Np2 0.3658 0.4014 0.5986
Np3 0.8658 0.5986 0.4014
Se5 0.1514 0.7029 0.6437
Se6 0.6514 0.2971 0.3563
Se7 0.6514 0.6437 0.7029
P1 0.6196 0.8132 0.1868
Se8 0.2004 0.0886 0.5452
Np4 0.9507 0.0565 0.2654
Se9 0.2004 0.4548 0.9114
Se10 0.7004 0.5452 0.0886
Np5 0.4507 0.2654 0.0565
Np6 0.4507 0.9435 0.7346
Se11 0.7719 0.0350 0.9650
P2 0.1196 0.1868 0.8132
Se12 0.6228 0.2475 0.7525

Its crystal system is orthorhombic. The calculation puts the total magnetization at 1.00 μB/atom. The calculation puts the uncorrected formation energy at -0.82 eV per atom.


No. 5
Crystalline Os3Pb2O10 at its relaxed geometry. Source: Alexandria via LeMat-Bulk, functional PBE.

Unit cell a=5.7652 b=7.9627 c=9.8084 alpha=112.41 beta=107.09 gamma=90.00
Fractional coordinates of all 30 atoms:
O1 0.5000 0.0000 0.5000
O2 0.4752 0.8309 0.9504
O3 0.1135 0.5192 0.7182
O4 0.2170 0.5000 0.0000
Os1 0.9155 0.5140 0.8310
O5 0.1336 0.9896 0.7825
O6 0.1328 0.7453 0.2655
O7 0.6489 0.9896 0.7825
O8 0.9672 0.7896 0.9344
O9 0.3511 0.0104 0.2175
O10 0.7742 0.7392 0.5484
Os2 0.8156 0.9860 0.6313
O11 0.6047 0.5192 0.7182
O12 0.0000 0.0000 0.5000
O13 0.0328 0.2104 0.0656
Os3 0.7752 0.0000 0.0000
O14 0.2258 0.2608 0.4516
Os4 0.1844 0.0140 0.3687
Pb1 0.5932 0.7287 0.1864
O15 0.3953 0.4808 0.2818
Os5 0.2248 0.0000 0.0000
Pb2 0.4068 0.2713 0.8136
Os6 0.0845 0.4860 0.1690
O16 0.8672 0.2547 0.7345
O17 0.5248 0.1691 0.0496
O18 0.8664 0.0104 0.2175
O19 0.7830 0.5000 0.0000
Pb3 0.6817 0.2978 0.3633
O20 0.8865 0.4808 0.2818
Pb4 0.3183 0.7022 0.6367

Its crystal system is monoclinic. The calculation puts the total magnetization at 0.00 μB/atom. The calculation puts the uncorrected formation energy at -1.01 eV per atom.


No. 6
Crystalline Sr2In4AgPd3 at its relaxed geometry. Source: Alexandria via LeMat-Bulk, functional PBE.

Unit cell a=4.8225 b=4.8225 c=10.5910 alpha=90.00 beta=90.00 gamma=90.00
Fractional coordinates of all 10 atoms:
In1 0.0000 0.5000 0.3739
Pd1 0.0000 0.0000 0.5000
In2 0.5000 0.0000 0.6261
Sr1 0.0000 0.5000 0.7415
In3 0.5000 0.5000 0.0000
In4 0.0000 0.0000 0.0000
Pd2 0.0000 0.5000 0.1234
Pd3 0.5000 0.0000 0.8766
Ag1 0.5000 0.5000 0.5000
Sr2 0.5000 0.0000 0.2585

Its crystal system is tetragonal. The calculation puts the total magnetization at 0.00 μB/atom. For the energy relative to the elements, the calculation gives -0.52 eV/atom.


No. 7
Crystalline LaGa3Pd at its relaxed geometry. Source: Alexandria via LeMat-Bulk, functional PBE.

Unit cell a=6.0090 b=6.1227 c=6.4380 alpha=121.72 beta=90.00 gamma=90.00
Fractional coordinates of all 10 atoms:
Ga1 0.2500 0.3233 0.1617
Ga2 0.5000 0.0000 0.7810
Pd1 0.2500 0.8040 0.4020
Ga3 0.7500 0.6767 0.8383
Ga4 0.0000 0.0000 0.7810
Ga5 0.0000 0.0000 0.2190
La1 0.7500 0.5309 0.2655
La2 0.2500 0.4691 0.7345
Pd2 0.7500 0.1960 0.5980
Ga6 0.5000 0.0000 0.2190

Its crystal system is orthorhombic. The calculation puts the total magnetization at 0.00 μB/atom. For the energy relative to the elements, the calculation gives -0.76 eV/atom. Its energy above the most stable polymorph in this dataset is 0.0000 eV per atom.


No. 8
Crystalline PuAuN at its relaxed geometry. Source: Alexandria via LeMat-Bulk, functional PBE.

Unit cell a=3.8552 b=3.8552 c=7.2465 alpha=90.00 beta=90.00 gamma=90.00
Fractional coordinates of all 6 atoms:
N1 0.7500 0.7500 0.5000
N2 0.2500 0.2500 0.5000
Pu1 0.2500 0.7500 0.3469
Pu2 0.7500 0.2500 0.6531
Au1 0.2500 0.7500 0.9156
Au2 0.7500 0.2500 0.0844

Its crystal system is tetragonal. The calculation puts the total magnetization at 1.35 μB/atom. The calculation puts the uncorrected formation energy at -0.86 eV per atom. Its energy above the most stable polymorph in this dataset is 0.0000 eV per atom.